# 1
Crystalline LaNiMo2 at its relaxed geometry, computed with GGA-PBE.

Calculated values
Its space group is Pm, No. 6. Its energy of formation from the pure elements is 0.22 eV/atom. The value obtained for the raw total energy is -0.5789 Ry per atom. The calculation puts the relative energy among the computed polymorphs at 0.0 meV per atom.

Cell and atoms, written as CIF:
```
data_LaNiMo2
_chemical_formula_sum 'La1 Ni1 Mo2'
_space_group_name_H-M_alt 'P 1'
_space_group_IT_number 1
_cell_length_a 3.2219
_cell_length_b 3.2179
_cell_length_c 7.2278
_cell_angle_alpha 90.00
_cell_angle_beta 90.10
_cell_angle_gamma 90.00
loop_
_space_group_symop_operation_xyz
'x,y,z'
loop_
_atom_site_label
_atom_site_type_symbol
_atom_site_fract_x
_atom_site_fract_y
_atom_site_fract_z
La1 La 0.0000 0.0000 0.0000
Ni1 Ni 0.5012 0.5000 0.3014
Mo1 Mo 0.0010 0.0000 0.4940
Mo2 Mo 0.4995 0.5000 0.6799
```

# 2
Crystalline LaHfZrN3 at its relaxed geometry, computed with GGA-PBE.

Calculated values
Its space group is P2_1/m, No. 11. The value obtained for the raw total energy is -0.7080 Ry per atom. Its formation energy from raw total energies is -1.56 eV per atom.

Cell and atoms, written as CIF:
```
data_LaHfZrN3
_chemical_formula_sum 'La2 Hf2 Zr2 N6'
_space_group_name_H-M_alt 'P 1'
_space_group_IT_number 1
_cell_length_a 5.8247
_cell_length_b 3.4029
_cell_length_c 8.7505
_cell_angle_alpha 90.00
_cell_angle_beta 102.91
_cell_angle_gamma 90.00
loop_
_space_group_symop_operation_xyz
'x,y,z'
loop_
_atom_site_label
_atom_site_type_symbol
_atom_site_fract_x
_atom_site_fract_y
_atom_site_fract_z
La1 La 0.1481 0.2500 0.1932
La2 La 0.8519 0.7500 0.8068
Hf1 Hf 0.3684 0.2500 0.8532
Hf2 Hf 0.6316 0.7500 0.1468
Zr1 Zr 0.2662 0.7500 0.5404
Zr2 Zr 0.7338 0.2500 0.4596
N1 N 0.0631 0.2500 0.6557
N2 N 0.2742 0.7500 0.9853
N3 N 0.4634 0.7500 0.3478
N4 N 0.5366 0.2500 0.6522
N5 N 0.7258 0.2500 0.0147
N6 N 0.9369 0.7500 0.3443
```

# 3
Crystalline Ca6In3Ag at its relaxed geometry, computed with GGA-PBE.

Calculated values
Its space group is P2_1/m, No. 11. Its energy of formation from the pure elements is -0.36 eV/atom. The value obtained for the raw total energy is -0.1957 Ry per atom.

Cell and atoms, written as CIF:
```
data_Ca6In3Ag
_chemical_formula_sum 'Ca12 In6 Ag2'
_space_group_name_H-M_alt 'P 1'
_space_group_IT_number 1
_cell_length_a 9.4728
_cell_length_b 5.4607
_cell_length_c 12.3084
_cell_angle_alpha 90.00
_cell_angle_beta 110.52
_cell_angle_gamma 90.00
loop_
_space_group_symop_operation_xyz
'x,y,z'
loop_
_atom_site_label
_atom_site_type_symbol
_atom_site_fract_x
_atom_site_fract_y
_atom_site_fract_z
Ca1 Ca 0.0259 0.2500 0.4194
Ca2 Ca 0.1685 0.7500 0.1631
Ca3 Ca 0.2582 0.2500 0.0011
Ca4 Ca 0.3421 0.7500 0.8196
Ca5 Ca 0.3625 0.2500 0.3469
Ca6 Ca 0.3893 0.2500 0.6386
Ca7 Ca 0.6107 0.7500 0.3614
Ca8 Ca 0.6375 0.7500 0.6531
Ca9 Ca 0.6579 0.2500 0.1804
Ca10 Ca 0.7418 0.7500 0.9989
Ca11 Ca 0.8315 0.2500 0.8369
Ca12 Ca 0.9741 0.7500 0.5806
In1 In 0.0252 0.7500 0.8695
In2 In 0.0910 0.2500 0.7193
In3 In 0.2680 0.7500 0.4724
In4 In 0.7320 0.2500 0.5276
In5 In 0.9090 0.7500 0.2807
In6 In 0.9748 0.2500 0.1305
Ag1 Ag 0.4562 0.7500 0.0938
Ag2 Ag 0.5438 0.2500 0.9062
```

# 4
Crystalline SrLa2Si at its relaxed geometry, computed with GGA-PBE.

Calculated values
Its space group is C2/m, No. 12. The value obtained for the raw total energy is -0.3062 Ry per atom. Its formation energy from raw total energies is 0.07 eV per atom.

Cell and atoms, written as CIF:
```
data_SrLa2Si
_chemical_formula_sum 'Sr1 La2 Si1'
_space_group_name_H-M_alt 'P 1'
_space_group_IT_number 1
_cell_length_a 6.6406
_cell_length_b 6.6406
_cell_length_c 3.6526
_cell_angle_alpha 103.49
_cell_angle_beta 103.49
_cell_angle_gamma 119.46
loop_
_space_group_symop_operation_xyz
'x,y,z'
loop_
_atom_site_label
_atom_site_type_symbol
_atom_site_fract_x
_atom_site_fract_y
_atom_site_fract_z
Sr1 Sr 0.0000 0.0000 0.0000
La1 La 0.0000 0.5000 0.5000
La2 La 0.5000 0.0000 0.5000
Si1 Si 0.5000 0.5000 0.0000
```

# 5
Crystalline AlS6I2 at its relaxed geometry, computed with GGA-PBE.

Calculated values
Its space group is P-1, No. 2. The value obtained for the raw total energy is -0.2567 Ry per atom. Its formation energy from raw total energies is 0.02 eV per atom.

Cell and atoms, written as CIF:
```
data_AlS6I2
_chemical_formula_sum 'Al1 S6 I2'
_space_group_name_H-M_alt 'P 1'
_space_group_IT_number 1
_cell_length_a 5.4724
_cell_length_b 7.4646
_cell_length_c 7.4761
_cell_angle_alpha 79.56
_cell_angle_beta 71.35
_cell_angle_gamma 70.98
loop_
_space_group_symop_operation_xyz
'x,y,z'
loop_
_atom_site_label
_atom_site_type_symbol
_atom_site_fract_x
_atom_site_fract_y
_atom_site_fract_z
Al1 Al 0.0000 0.0000 0.0000
S1 S 0.2442 0.7744 0.7735
S2 S 0.3985 0.0964 0.7953
S3 S 0.4023 0.7939 0.0945
S4 S 0.5977 0.2061 0.9055
S5 S 0.6015 0.9036 0.2047
S6 S 0.7558 0.2256 0.2265
I1 I 0.0256 0.3447 0.3474
I2 I 0.9744 0.6553 0.6526
```

# 6
Crystalline Pr8AgPd2 at its relaxed geometry, computed with GGA-PBE.

Calculated values
Its space group is Cm, No. 8. Its energy of formation from the pure elements is -0.20 eV/atom. The value obtained for the raw total energy is -0.3585 Ry per atom. The calculation puts the relative energy among the computed polymorphs at 102.5 meV per atom.

Cell and atoms, written as CIF:
```
data_Pr8AgPd2
_chemical_formula_sum 'Pr8 Ag1 Pd2'
_space_group_name_H-M_alt 'P 1'
_space_group_IT_number 1
_cell_length_a 8.2552
_cell_length_b 8.2552
_cell_length_c 5.8872
_cell_angle_alpha 99.37
_cell_angle_beta 99.37
_cell_angle_gamma 115.74
loop_
_space_group_symop_operation_xyz
'x,y,z'
loop_
_atom_site_label
_atom_site_type_symbol
_atom_site_fract_x
_atom_site_fract_y
_atom_site_fract_z
Pr1 Pr 0.0000 0.0000 0.0000
Pr2 Pr 0.0532 0.2967 0.6032
Pr3 Pr 0.1535 0.6210 0.1850
Pr4 Pr 0.2967 0.0532 0.6032
Pr5 Pr 0.4767 0.7202 0.7677
Pr6 Pr 0.6210 0.1535 0.1850
Pr7 Pr 0.7202 0.4767 0.7677
Pr8 Pr 0.7732 0.7732 0.3703
Ag1 Ag 0.3868 0.3868 0.1767
Pd1 Pd 0.0893 0.6836 0.6846
Pd2 Pd 0.6836 0.0893 0.6846
```

> Look up the raw total energy of the second one.

-0.7080 Ry per atom

> Which formula does entry 4 have?

SrLa2Si

What did the fourth record say?
Crystalline SrLa2Si at its relaxed geometry, computed with GGA-PBE.

Calculated values
Its space group is C2/m, No. 12. The value obtained for the raw total energy is -0.3062 Ry per atom. Its formation energy from raw total energies is 0.07 eV per atom.

Cell and atoms, written as CIF:
```
data_SrLa2Si
_chemical_formula_sum 'Sr1 La2 Si1'
_space_group_name_H-M_alt 'P 1'
_space_group_IT_number 1
_cell_length_a 6.6406
_cell_length_b 6.6406
_cell_length_c 3.6526
_cell_angle_alpha 103.49
_cell_angle_beta 103.49
_cell_angle_gamma 119.46
loop_
_space_group_symop_operation_xyz
'x,y,z'
loop_
_atom_site_label
_atom_site_type_symbol
_atom_site_fract_x
_atom_site_fract_y
_atom_site_fract_z
Sr1 Sr 0.0000 0.0000 0.0000
La1 La 0.0000 0.5000 0.5000
La2 La 0.5000 0.0000 0.5000
Si1 Si 0.5000 0.5000 0.0000
```

Repeat the fifth record exactly.
Crystalline AlS6I2 at its relaxed geometry, computed with GGA-PBE.

Calculated values
Its space group is P-1, No. 2. The value obtained for the raw total energy is -0.2567 Ry per atom. Its formation energy from raw total energies is 0.02 eV per atom.

Cell and atoms, written as CIF:
```
data_AlS6I2
_chemical_formula_sum 'Al1 S6 I2'
_space_group_name_H-M_alt 'P 1'
_space_group_IT_number 1
_cell_length_a 5.4724
_cell_length_b 7.4646
_cell_length_c 7.4761
_cell_angle_alpha 79.56
_cell_angle_beta 71.35
_cell_angle_gamma 70.98
loop_
_space_group_symop_operation_xyz
'x,y,z'
loop_
_atom_site_label
_atom_site_type_symbol
_atom_site_fract_x
_atom_site_fract_y
_atom_site_fract_z
Al1 Al 0.0000 0.0000 0.0000
S1 S 0.2442 0.7744 0.7735
S2 S 0.3985 0.0964 0.7953
S3 S 0.4023 0.7939 0.0945
S4 S 0.5977 0.2061 0.9055
S5 S 0.6015 0.9036 0.2047
S6 S 0.7558 0.2256 0.2265
I1 I 0.0256 0.3447 0.3474
I2 I 0.9744 0.6553 0.6526
```